(1)
! InRe2Br, relaxed, DFT PBE; values from VASP
! Crystal system: orthorhombic
! VASP energy: -0.4871 Ry/atom
! Calculated volume: 19.70 Å³ per atom
! ΔE_f (raw): 0.70 eV per atom
! Distance to the lowest polymorph of the same formula: 420 meV per atom
&SYSTEM
  ibrav = 0, nat = 4, ntyp = 3
/
ATOMIC_SPECIES
In 114.82 In.upf
Re 186.21 Re.upf
Br 79.90 Br.upf
ATOMIC_POSITIONS crystal
In 0.0000 0.0000 0.0000
Re 0.0000 0.0000 0.5561
Re 0.5000 0.5000 0.7510
Br 0.5000 0.5000 0.3274
CELL_PARAMETERS angstrom
1.4828 -2.4994 0.0000
1.4828 2.4994 0.0000
0.0000 0.0000 10.6297

(2)
! LaTc2Se, relaxed, DFT PBE; values from VASP
! Crystal system: tetragonal
! VASP energy: -0.5212 Ry/atom
! Calculated volume: 19.92 Å³ per atom
! ΔE_f (raw): 0.20 eV per atom
&SYSTEM
  ibrav = 0, nat = 4, ntyp = 3
/
ATOMIC_SPECIES
La 138.91 La.upf
Tc 98.00 Tc.upf
Se 78.96 Se.upf
ATOMIC_POSITIONS crystal
La 0.0000 0.0000 0.0000
Tc 0.0000 0.5000 0.5000
Tc 0.5000 0.0000 0.5000
Se 0.5000 0.5000 0.0000
CELL_PARAMETERS angstrom
3.9704 0.0000 0.0000
0.0000 3.9704 0.0000
0.0000 0.0000 5.0539